1.
Below is a relaxed structure of PmPdO4, with properties calculated at the PBE level.

POSCAR file:
```
PmPdO4
1.0
5.6852 -2.5746 0.0000
5.6852 2.5746 0.0000
-2.1162 0.0000 5.1256
Pm Pd O
2 2 8
Cartesian
4.0980 1.4772 3.8442 Pm
5.1561 -1.4772 1.2814 Pm
2.8426 1.2873 0.0000 Pd
1.7845 -1.2873 2.5628 Pd
0.5289 0.2127 3.3665 O
1.5870 -0.2127 0.8036 O
4.6355 0.5729 0.3129 O
5.6768 0.5729 2.2499 O
3.5774 -0.5729 2.8757 O
4.6187 -0.5729 4.8127 O
7.6672 0.2127 4.3220 O
8.7253 -0.2127 1.7592 O
```

Computed properties:
Spin magnetization: 1.99 μB per cell
Polymorph energy (0 for the lowest one): 0 meV per atom



2.
Below is a relaxed structure of Pm2Pd2O7, with properties calculated at the PBE level.

POSCAR file:
```
Pm2Pd2O7
1.0
4.4091 -3.4064 0.0000
4.4091 3.4064 0.0000
-0.2808 0.0000 4.7681
Pm Pd O
2 2 7
Cartesian
4.4091 1.7481 0.0000 Pm
4.4091 -1.7481 0.0000 Pm
1.9960 0.0000 2.5728 Pd
6.5414 0.0000 2.1953 Pd
-0.1404 0.0000 2.3840 O
2.2592 1.4973 1.1947 O
3.7402 0.0000 3.4986 O
2.2592 -1.4973 1.1947 O
6.2782 1.4973 3.5734 O
4.7972 0.0000 1.2695 O
6.2782 -1.4973 3.5734 O
```

Computed properties:
Spin magnetization: 0.00 μB per cell
Polymorph energy (0 for the lowest one): 393 meV per atom



3.
Below is a relaxed structure of Pm4Pd2O, with properties calculated at the PBE level.

POSCAR file:
```
Pm4Pd2O
1.0
6.8085 0.0000 0.0000
0.0000 7.1269 0.0000
-2.2254 0.0000 7.4851
Pm Pd O
8 4 2
Cartesian
-0.5254 0.0535 1.8793 Pm
-0.5254 3.5100 1.8793 Pm
1.5910 1.7817 4.4894 Pm
2.7516 1.7817 0.9045 Pm
1.8315 5.3452 6.5806 Pm
2.9921 5.3452 2.9957 Pm
5.1086 3.6169 5.6058 Pm
5.1086 7.0735 5.6058 Pm
0.2879 5.3452 4.0979 Pd
1.4241 5.3452 0.4806 Pd
3.1590 1.7817 7.0045 Pd
4.2953 1.7817 3.3872 Pd
0.9363 1.7817 2.2869 O
3.6468 5.3452 5.1981 O
```

Computed properties:
Spin magnetization: 0.00 μB per cell
Polymorph energy (0 for the lowest one): 0 meV per atom



4.
Below is a relaxed structure of PmPd3O6, with properties calculated at the PBE level.

POSCAR file:
```
PmPd3O6
1.0
3.5972 -5.1148 0.0000
3.5972 5.1148 0.0000
0.0000 0.0000 3.4975
Pm Pd O
1 3 6
Cartesian
0.0000 0.0000 0.0000 Pm
1.7986 2.5574 1.7488 Pd
1.7986 -2.5574 1.7488 Pd
3.5972 0.0000 0.0000 Pd
3.5972 3.5120 1.7488 O
2.1114 1.3393 0.0000 O
2.1114 -1.3393 0.0000 O
5.0830 1.3393 0.0000 O
5.0830 -1.3393 0.0000 O
3.5972 -3.5120 1.7488 O
```

Computed properties:
Spin magnetization: 0.00 μB per cell



5.
Below is a relaxed structure of Pm4PdO, with properties calculated at the PBE level.

POSCAR file:
```
Pm4PdO
1.0
2.4832 -8.9990 0.0000
2.4832 8.9990 0.0000
0.0000 0.0000 6.6736
Pm Pd O
8 2 2
Cartesian
2.4832 8.5661 3.3368 Pm
2.4832 6.1230 5.7662 Pm
2.4832 5.0862 2.4932 Pm
2.4832 1.6808 4.6082 Pm
2.4832 -1.6808 1.2714 Pm
2.4832 -5.0862 5.8300 Pm
2.4832 -6.1230 2.4294 Pm
2.4832 -8.5661 0.0000 Pm
2.4832 1.8165 1.1776 Pd
2.4832 -1.8165 4.5144 Pd
2.4832 7.3143 1.2597 O
2.4832 -7.3143 4.5964 O
```

Computed properties:
Spin magnetization: 0.00 μB per cell



6.
Below is a relaxed structure of Pm12Pd6O, with properties calculated at the PBE level.

POSCAR file:
```
Pm12Pd6O
1.0
6.1901 3.5738 4.0471
-6.1901 3.5738 4.0471
0.0000 -7.1477 4.0471
Pm Pd O
12 6 1
Cartesian
-5.5009 -1.5820 6.6295 Pm
-1.3804 -5.5549 5.5118 Pm
-2.3465 -0.2323 4.7283 Pm
-4.1205 3.9729 5.5118 Pm
1.3744 -1.9160 4.7283 Pm
-0.9721 -2.1483 7.4130 Pm
0.9721 2.1483 4.7283 Pm
-1.3744 1.9160 7.4130 Pm
4.1205 -3.9729 6.6295 Pm
2.3465 0.2323 7.4130 Pm
1.3804 5.5549 6.6295 Pm
5.5009 1.5820 5.5118 Pm
-1.1527 -3.0035 4.2452 Pd
-2.0248 2.5000 4.2452 Pd
-3.1775 -0.5035 7.8962 Pd
3.1775 0.5035 4.2452 Pd
2.0248 -2.5000 7.8961 Pd
1.1527 3.0035 7.8961 Pd
0.0000 0.0000 0.0000 O
```

Computed properties:
Spin magnetization: 0.00 μB per cell



7.
Below is a relaxed structure of Pm2Pd2O7, with properties calculated at the PBE level.

POSCAR file:
```
Pm2Pd2O7
1.0
0.0000 5.2210 5.2210
5.2210 0.0000 5.2210
5.2210 5.2210 0.0000
Pm Pd O
4 4 14
Cartesian
0.0000 0.0000 0.0000 Pm
2.6105 2.6105 0.0000 Pm
2.6105 0.0000 2.6105 Pm
0.0000 2.6105 2.6105 Pm
5.2210 2.6105 2.6105 Pd
2.6105 5.2210 2.6105 Pd
2.6105 2.6105 5.2210 Pd
5.2210 5.2210 5.2210 Pd
1.3053 1.3053 1.3053 O
3.9158 3.9158 1.7130 O
3.9158 1.7130 3.9158 O
6.1186 3.9158 3.9158 O
6.5263 6.5263 4.3235 O
6.5263 4.3235 6.5263 O
8.7291 6.5263 6.5263 O
1.7130 3.9158 3.9158 O
3.9158 6.1186 3.9158 O
3.9158 3.9158 6.1186 O
4.3235 6.5263 6.5263 O
6.5263 8.7291 6.5263 O
6.5263 6.5263 8.7291 O
9.1368 9.1368 9.1368 O
```

Computed properties:
Spin magnetization: 0.00 μB per cell
Polymorph energy (0 for the lowest one): 0 meV per atom



8.
Below is a relaxed structure of Pm2Pd3O8, with properties calculated at the PBE level.

POSCAR file:
```
Pm2Pd3O8
1.0
5.2836 -3.0941 0.0000
5.2836 3.0941 0.0000
-1.9201 0.0000 5.4974
Pm Pd O
2 3 8
Cartesian
1.9347 0.0000 0.8326 Pm
6.7123 0.0000 4.6648 Pm
4.3235 1.5462 2.7487 Pd
5.2836 0.0000 0.0000 Pd
4.3235 -1.5462 2.7487 Pd
0.3439 0.0000 2.5196 O
3.9454 1.4138 0.7050 O
4.7016 1.4138 4.7924 O
3.0234 0.0000 2.9135 O
5.6236 0.0000 2.5839 O
3.9454 -1.4138 0.7050 O
4.7016 -1.4138 4.7924 O
8.3031 0.0000 2.9777 O
```

Computed properties:
Spin magnetization: 0.00 μB per cell



no.,uncorrected formation energy (eV per atom),ρ (g/cm³)
1,-1.469,7.0
2,-1.441,7.1
3,-1.223,7.4
4,-1.163,7.2
5,-1.060,7.8
6,-0.685,7.4
7,-1.834,7.2
8,-1.512,6.8